This record from Alexandria via LeMat-Bulk describes a relaxed La4RhI crystal. The functional is GGA-PBE.

a b c (Å): 7.177 7.990 9.139
angles (deg): 108.49 105.02 107.78
Positions (direct):
La1 0.724 0.987 0.403
I1 0.316 0.566 0.133
La2 0.564 0.269 0.138
La3 0.276 0.013 0.597
I2 0.684 0.434 0.867
La4 0.821 0.584 0.597
Rh1 0.178 0.928 0.856
La5 0.179 0.416 0.403
La6 0.436 0.731 0.862
La7 0.074 0.869 0.138
Rh2 0.822 0.072 0.144
La8 0.926 0.131 0.862

Computed properties:
Calculated volume ... 435 Å³ per cell
ΔE_f (raw) ... -0.5160 eV/atom


This record from Alexandria via LeMat-Bulk describes a relaxed Tl2HgPd crystal. The functional is GGA-PBE.

a b c (Å): 4.821 4.821 5.475
angles (deg): 90.00 90.00 120.00
Positions (direct):
Tl1 0.667 0.333 0.824
Hg1 0.000 0.000 0.500
Tl2 0.333 0.667 0.176
Pd1 0.000 0.000 0.000

Computed properties:
ΔE to the lowest computed polymorph ... 0 meV per atom
Calculated volume ... 110 Å³ per cell
Formation energy from the elements ... -0.2 eV/f.u.


This record from Alexandria via LeMat-Bulk describes a relaxed LaMg2N crystal. The functional is GGA-PBE.

a b c (Å): 6.512 6.512 6.516
angles (deg): 60.02 60.02 90.00
Positions (direct):
Mg1 0.375 0.125 0.250
La1 0.750 0.250 0.500
Mg2 0.375 0.625 0.750
N1 0.500 0.500 0.000
La2 0.000 0.000 0.000
N2 0.250 0.750 0.500
Mg3 0.375 0.625 0.250
Mg4 0.875 0.625 0.750

Computed properties:
Calculated volume ... 195 Å³ per cell
ΔE_f (raw) ... -0.0470 eV/atom


This record from Alexandria via LeMat-Bulk describes a relaxed TbTm7Hg4 crystal. The functional is GGA-PBE.

a b c (Å): 5.624 8.875 7.749
angles (deg): 70.30 68.72 71.53
Positions (direct):
Tm1 0.068 0.593 0.272
Tm2 0.792 0.884 0.532
Tb1 0.000 0.000 0.000
Hg1 0.311 0.338 0.039
Tm3 0.932 0.407 0.728
Hg2 0.547 0.276 0.631
Tm4 0.267 0.686 0.781
Tm5 0.500 0.000 0.000
Hg3 0.689 0.662 0.961
Hg4 0.453 0.724 0.369
Tm6 0.208 0.116 0.468
Tm7 0.733 0.314 0.219

Computed properties:
Calculated volume ... 331 Å³ per cell
Formation energy from the elements ... -1.0 eV/f.u.


This record from Alexandria via LeMat-Bulk describes a relaxed HfAuBr6 crystal. The functional is GGA-PBE.

a b c (Å): 6.095 7.974 8.052
angles (deg): 53.47 68.13 68.26
Each line ends with the local moment (μB).
Positions (direct):
Br1 0.160 0.835 0.346  0.04
Br2 0.163 0.349 0.836  0.04
Au1 0.500 0.500 0.500  0.13
Br3 0.837 0.651 0.164  0.04
Br4 0.379 0.833 0.835  0.02
Br5 0.840 0.165 0.654  0.04
Br6 0.621 0.167 0.165  0.02
Hf1 0.000 0.000 0.000  0.00

Computed properties:
ΔE to the lowest computed polymorph ... 24 meV per atom
Calculated volume ... 286 Å³ per cell
ΔE_f (raw) ... -0.8340 eV/atom


This record from Alexandria via LeMat-Bulk describes a relaxed Ca3Co5Se12 crystal. The functional is GGA-PBE.

a b c (Å): 13.178 13.178 13.178
angles (deg): 109.47 109.47 109.47
Each line ends with the local moment (μB).
Positions (direct):
Se1 0.892 0.592 0.912  0.05
Se2 0.680 0.200 0.592  0.05
Co1 0.000 0.000 0.000  0.35
Se3 0.180 0.092 0.700  0.05
Se4 0.408 0.108 0.588  0.05
Ca1 0.125 0.250 0.875  0.03
Se5 0.108 0.408 0.088  0.05
Co2 0.500 0.500 0.500  0.35
Se6 0.320 0.520 0.412  0.05
Ca2 0.750 0.375 0.125  0.03
Co3 0.875 0.250 0.625  1.17
Se7 0.300 0.408 0.820  0.05
Ca3 0.375 0.625 0.250  0.03
Se8 0.392 0.412 0.092  0.05
Co4 0.500 0.000 0.500  0.35
Se9 0.680 0.480 0.588  0.05
Se10 0.108 0.700 0.520  0.05
Ca4 0.625 0.375 0.750  0.03
Se11 0.092 0.912 0.392  0.05
Se12 0.700 0.592 0.180  0.05
Se13 0.480 0.680 0.088  0.05
Ca5 0.750 0.875 0.625  0.03
Se14 0.800 0.320 0.908  0.05
Se15 0.892 0.300 0.480  0.05
Co5 0.250 0.375 0.625  1.17
Se16 0.912 0.820 0.520  0.05
Se17 0.908 0.088 0.608  0.05
Se18 0.980 0.392 0.300  0.05
Se19 0.592 0.892 0.412  0.05
Se20 0.588 0.980 0.680  0.05
Se21 0.392 0.980 0.800  0.05
Se22 0.912 0.092 0.892  0.05
Co6 0.875 0.625 0.750  1.17
Se23 0.200 0.520 0.608  0.05
Co7 0.750 0.625 0.375  1.17
Co8 0.625 0.750 0.875  1.17
Se24 0.908 0.820 0.800  0.05
Se25 0.088 0.180 0.480  0.05
Se26 0.608 0.588 0.908  0.05
Se27 0.320 0.800 0.408  0.05
Co9 0.750 0.125 0.875  1.17
Se28 0.820 0.908 0.300  0.05
Se29 0.088 0.908 0.108  0.05
Co10 0.000 0.500 0.000  0.35
Se30 0.800 0.480 0.392  0.05
Se31 0.588 0.608 0.408  0.05
Se32 0.520 0.320 0.912  0.05
Ca6 0.250 0.625 0.875  0.03
Ca7 0.875 0.750 0.125  0.03
Se33 0.200 0.680 0.092  0.05
Ca8 0.125 0.875 0.750  0.03
Se34 0.408 0.300 0.320  0.05
Se35 0.520 0.200 0.108  0.05
Ca9 0.625 0.250 0.375  0.03
Ca10 0.250 0.125 0.375  0.03
Se36 0.412 0.392 0.592  0.05
Se37 0.480 0.800 0.892  0.05
Co11 0.625 0.875 0.250  1.17
Se38 0.608 0.020 0.200  0.05
Co12 0.125 0.375 0.250  1.17
Se39 0.300 0.892 0.980  0.05
Co13 0.125 0.750 0.375  1.17
Se40 0.180 0.088 0.980  0.05
Se41 0.700 0.108 0.020  0.05
Co14 0.375 0.250 0.125  1.17
Se42 0.092 0.180 0.200  0.05
Se43 0.980 0.588 0.180  0.05
Co15 0.500 0.000 0.000  0.35
Se44 0.820 0.912 0.020  0.05
Co16 0.000 0.000 0.500  0.35
Co17 0.000 0.500 0.500  0.35
Se45 0.020 0.608 0.700  0.05
Ca11 0.375 0.750 0.625  0.03
Ca12 0.875 0.125 0.250  0.03
Co18 0.250 0.875 0.125  1.17
Co19 0.375 0.125 0.750  1.17
Co20 0.500 0.500 0.000  0.35
Se46 0.412 0.020 0.320  0.05
Se47 0.020 0.412 0.820  0.05
Se48 0.592 0.700 0.680  0.05

Computed properties:
Calculated volume ... 1762 Å³ per cell
ΔE_f (raw) ... -0.5625 eV/atom


This record from Alexandria via LeMat-Bulk describes a relaxed SmHfAl2 crystal. The functional is GGA-PBE.

a b c (Å): 3.243 5.161 5.161
angles (deg): 90.00 90.00 90.00
Positions (direct):
Sm1 0.500 0.500 0.500
Hf1 0.500 0.000 0.000
Al1 0.000 0.500 0.000
Al2 0.000 0.000 0.500

Computed properties:
ΔE to the lowest computed polymorph ... 90 meV per atom
Calculated volume ... 86 Å³ per cell
Formation energy from the elements ... -0.8 eV/f.u.


This record from Alexandria via LeMat-Bulk describes a relaxed ThPaCd crystal. The functional is GGA-PBE.

a b c (Å): 6.188 6.435 5.823
angles (deg): 75.20 57.91 61.26
Positions (direct):
Cd1 0.873 0.255 0.000
Cd2 0.127 0.745 0.000
Pa1 0.250 0.500 0.500
Th1 0.309 0.000 0.381
Th2 0.691 0.000 0.619
Pa2 0.750 0.500 0.500

Computed properties:
ΔE to the lowest computed polymorph ... 175 meV per atom
Calculated volume ... 172 Å³ per cell
Formation energy from the elements ... 0.8 eV/f.u.


Question: calculated volume of number 1 (La4RhI)?
Answer: 435 Å³ per cell


Question: Look up the calculated volume of the sixth one.
Answer: 1762 Å³ per cell